VASP calculation (meta-GGA SCAN) on a PBEsol-optimized structure of InSeS3.

Output
Its density of states at the Fermi level is 0.86 states/eV per atom. As for the magnetization: 0.00 μB per formula unit. For the raw formation energy, the calculation gives 8.9 kcal/mol of atoms. As for the calculated total energy: -80.4 eV per cell. Its space-group type is Pm-3m.

extended XYZ file:
```
5
Lattice="4.762 0.000 0.000 0.000 4.762 0.000 0.000 0.000 4.762" Properties=species:S:1:pos:R:3 pbc="T T T"
S 0.000 2.381 0.000
S 0.000 0.000 2.381
S 2.381 0.000 0.000
Se 0.000 0.000 0.000
In 2.381 2.381 2.381
```